Compound: La8Ag2Rh
Source: Alexandria
Functional: PBE
Structure: optimized geometry

Lattice parameters (Å, degrees): 5.4560 6.9925 9.9390 110.27 105.93 90.00
Fractional positions:
La 0.4106 0.5525 0.8212
La 0.6640 0.0088 0.3280
La 0.7958 0.6723 0.5915
La 0.9803 0.1969 0.9606
La 0.2042 0.3277 0.4085
La 0.3360 0.9912 0.6720
La 0.5894 0.4475 0.1788
La 0.0197 0.8031 0.0394
Ag 0.8327 0.2721 0.6653
Ag 0.1673 0.7279 0.3347
Rh 0.5000 0.0000 0.0000

## Properties
For the formation energy, the calculation gives -2.33 eV per formula unit. The crystal system is monoclinic. For the density of states at the Fermi level, the calculation gives 12.85 states/eV/cell. The calculation puts the energy above the lowest structure with this stoichiometry at 0.008 eV per atom.